# MoCI2N | Alexandria | PBE | relaxed
# - energy relative to the elements, uncorrected (eV/atom) = 1.6532
# - density of states at the Fermi level (states/eV/f.u.) = 5.38
# - polymorph energy (0 for the lowest one) (kJ per mole of atoms) = 6.9
data_MoCI2N
_chemical_formula_sum 'Mo1 C1 I2 N1'
_cell_length_a 6.7714
_cell_length_b 6.7714
_cell_length_c 2.6566
_cell_angle_alpha 90.00
_cell_angle_beta 90.00
_cell_angle_gamma 90.00
_symmetry_space_group_name_H-M 'P 4/m m m'
_symmetry_Int_Tables_number 123
_symmetry_space_group_name_Hall '-P 4 2'
loop_
_atom_site_label
_atom_site_fract_x
_atom_site_fract_y
_atom_site_fract_z
Mo1 0.0000 0.0000 0.0000
C1 0.5000 0.5000 0.5000
I1 0.0000 0.5000 0.5000
N1 0.5000 0.5000 0.0000